The following is a PBE with a Hubbard U calculation of an optimized crystal structure of Li7Mn2Co3O12, from Alexandria via LeMat-Bulk.

Output
As for the density of states at the Fermi level: 0.1 states/eV/cell. For the density, the calculation gives 4.2 g cm⁻³. The distance to the lowest polymorph of the same formula is 44 meV per atom. Its total energy is -140.48 eV per cell.

Cell lengths 4.9848, 4.9725, 9.7795 Å; angles 100.86, 86.31, 118.23 degrees
Fractional positions:
O 0.8672 0.0383 0.6095
O 0.5019 0.4015 0.6083
O 0.1430 0.6807 0.6093
O 0.1782 0.2130 0.1071
O 0.8570 0.3193 0.3907
O 0.8218 0.7870 0.8929
O 0.1328 0.9617 0.3905
O 0.4796 0.8491 0.1220
O 0.8078 0.5170 0.1184
O 0.4981 0.5985 0.3917
O 0.1922 0.4830 0.8816
O 0.5204 0.1509 0.8780
Co 0.1706 0.3293 0.4999
Co 0.8294 0.6707 0.5001
Co 0.5000 0.5000 0.0000
Li 0.1625 0.5800 0.2564
Li 0.5004 0.7561 0.7466
Li 0.5000 0.0000 0.5000
Li 0.8375 0.4200 0.7436
Li 0.8004 0.8916 0.2579
Li 0.4996 0.2439 0.2534
Li 0.1996 0.1084 0.7421
Mn 0.8302 0.1686 0.9993
Mn 0.1698 0.8314 0.0007